Entry from Alexandria via LeMat-Bulk: Ho5Er8Zr after structural relaxation (GGA-PBE).

The formation energy is 0.30 eV/atom. As for the space group: I-4. As for the total energy: -0.3348 Ry per atom. The value obtained for the magnetic moment is 1.67 μB/f.u.

Unit cell a=8.2812 b=8.2809 c=8.2813 alpha=110.61 beta=107.22 gamma=110.61
With the nearest neighbours (Å) after each atom.
Element x y z (fractional)
Er 0.9374 0.0953 0.6608  1 Zr 3.08, 5 Ho 3.15-3.43
Ho 0.0261 0.3178 0.1262  8 Er 3.27-3.49, 2 Ho 3.54
Er 0.3392 0.2766 0.4345  1 Zr 3.08, 5 Ho 3.15-3.43
Zr 0.2500 0.5000 0.7500  4 Er 3.08
Ho 0.8738 0.8999 0.1916  8 Er 3.27-3.49, 2 Ho 3.54
Ho 0.5000 0.0000 0.5000  8 Er 3.15-3.28
Er 0.6506 0.3965 0.9135  5 Ho 3.28-3.49, 3 Er 3.45-3.62
Er 0.5655 0.9047 0.8421  1 Zr 3.08, 5 Ho 3.15-3.43
Er 0.0866 0.7371 0.4831  5 Ho 3.28-3.49, 3 Er 3.45-3.62
Ho 0.8084 0.6822 0.7083  8 Er 3.27-3.49, 2 Ho 3.54
Er 0.1579 0.7234 0.0626  1 Zr 3.08, 5 Ho 3.15-3.43
Er 0.7460 0.2629 0.3494  5 Ho 3.28-3.49, 3 Er 3.45-3.62
Er 0.5169 0.6035 0.2540  5 Ho 3.28-3.49, 3 Er 3.45-3.62
Ho 0.2917 0.1001 0.9739  8 Er 3.27-3.49, 2 Ho 3.54


Entry from Alexandria via LeMat-Bulk: Y2ScTi2 after structural relaxation (GGA-PBE).

The formation energy is 0.26 eV/atom. As for the space group: P4/mbm. As for the total energy: -0.4962 Ry per atom. The value obtained for the magnetic moment is 0.00 μB/f.u.

Unit cell a=8.3131 b=8.3131 c=3.5848 alpha=90.00 beta=90.00 gamma=90.00
With the nearest neighbours (Å) after each atom.
Element x y z (fractional)
Y 0.1752 0.6752 0.5000  6 Ti 3.03-3.06
Sc 0.0000 0.0000 0.0000  4 Ti 3.33, 8 Y 3.55, 2 Sc 3.58
Y 0.3248 0.1752 0.5000  6 Ti 3.03-3.06
Y 0.8248 0.3248 0.5000  6 Ti 3.03-3.06
Y 0.6752 0.8248 0.5000  6 Ti 3.03-3.06
Ti 0.8826 0.6174 0.0000  1 Ti 2.76, 6 Y 3.03-3.06
Ti 0.3826 0.8826 0.0000  1 Ti 2.76, 6 Y 3.03-3.06
Ti 0.1174 0.3826 0.0000  1 Ti 2.76, 6 Y 3.03-3.06
Sc 0.5000 0.5000 0.0000  4 Ti 3.33, 8 Y 3.55, 2 Sc 3.58
Ti 0.6174 0.1174 0.0000  1 Ti 2.76, 6 Y 3.03-3.06